Computed, not measured: crystalline Tb12Pr6Tm at its relaxed geometry at the GGA-PBE level of DFT.

Structure (POSCAR):
```
Tb12Pr6Tm
1.0
-8.295 -1.615 -2.287
1.108 -2.837 -8.208
-0.357 -8.662 1.221
Pr Tb Tm
6 12 1
Cartesian
-6.773 -4.030 -3.545
-0.770 -9.083 -5.729
-1.085 -4.771 -7.123
-6.458 -8.342 -2.151
-5.569 -4.821 -7.853
-1.975 -8.292 -1.421
-3.595 -10.750 -7.200
-0.643 -2.792 -4.155
-6.385 -8.273 -8.433
-3.786 -9.130 -4.125
-3.948 -2.363 -2.074
-1.240 -6.220 -4.034
-3.758 -3.983 -5.149
-6.303 -6.893 -5.240
-4.225 -5.831 -2.157
-3.318 -7.283 -7.117
-6.901 -10.321 -5.119
-1.158 -4.840 -0.840
0.000 0.000 0.000
```

Space group: R-3m, No. 166
Density (g/cm³): 7.58
Final energy (eV per cell): -86.309
Formation energy (kJ/mol of atoms): 12.2
Distance to the lowest polymorph of the same formula (eV/atom): 0.000